1.
# Sm4Er3Tl5

A relaxed Sm4Er3Tl5 crystal (GGA-PBE, Alexandria).

Computed properties:
Total magnetization: 0.00 μB/f.u.
Crystal system: monoclinic
DOS at the Fermi energy: 10.73 states/eV/f.u.
Formation enthalpy at 0 K: -1.36 eV per formula unit
DFT total energy: -3.813 eV per atom

The structure in CIF format:
```
data_Sm4Er3Tl5
_chemical_formula_sum 'Sm8 Er6 Tl10'
_cell_length_a 11.8902
_cell_length_b 5.5471
_cell_length_c 11.1491
_cell_angle_alpha 90.00
_cell_angle_beta 91.85
_cell_angle_gamma 90.00
_space_group_name_H-M_alt 'C 1 2/m 1'
_space_group_IT_number 12
_space_group_name_Hall '-C 2y'
loop_
_atom_site_label
_atom_site_type_symbol
_atom_site_fract_x
_atom_site_fract_y
_atom_site_fract_z
Sm1 Sm 0.1431 0.0000 0.4478
Sm2 Sm 0.2320 0.0000 0.1290
Er1 Er 0.0000 0.5000 0.0000
Er2 Er 0.0809 0.0000 0.7538
Tl1 Tl 0.0000 0.0000 0.0000
Tl2 Tl 0.0784 0.5000 0.6176
Tl3 Tl 0.1548 0.5000 0.2623
```

***

2.
# Y2CrHgSe

A relaxed Y2CrHgSe crystal (GGA-PBE, Alexandria).

Computed properties:
Total magnetization: 4.87 μB/f.u.
Crystal system: tetragonal
DOS at the Fermi energy: 5.84 states/eV/f.u.
E_form (uncorrected): 0.173 eV/atom
DFT total energy: -5.095 eV per atom

The structure in CIF format:
```
data_Y2CrHgSe
_chemical_formula_sum 'Y2 Cr1 Hg1 Se1'
_cell_length_a 5.3406
_cell_length_b 5.3406
_cell_length_c 5.2827
_cell_angle_alpha 90.00
_cell_angle_beta 90.00
_cell_angle_gamma 90.00
_space_group_name_H-M_alt 'P 4/m m m'
_space_group_IT_number 123
_space_group_name_Hall '-P 4 2'
loop_
_atom_site_label
_atom_site_type_symbol
_atom_site_fract_x
_atom_site_fract_y
_atom_site_fract_z
Y1 Y 0.0000 0.5000 0.0000
Cr1 Cr 0.0000 0.0000 0.5000
Hg1 Hg 0.5000 0.5000 0.5000
Se1 Se 0.5000 0.5000 0.0000
```

***

3.
# Ta2IrI

A relaxed Ta2IrI crystal (GGA-PBE, Alexandria).

Computed properties:
Offset from the most stable computed form: 388 meV/atom
Total magnetization: 0.00 μB/f.u.
Crystal system: tetragonal
DOS at the Fermi energy: 2.33 states/eV/f.u.
E_form (uncorrected): 0.907 eV/atom
DFT total energy: -7.622 eV per atom

The structure in CIF format:
```
data_Ta2IrI
_chemical_formula_sum 'Ta8 Ir4 I4'
_cell_length_a 5.9056
_cell_length_b 5.9056
_cell_length_c 12.6695
_cell_angle_alpha 90.00
_cell_angle_beta 90.00
_cell_angle_gamma 90.00
_space_group_name_H-M_alt 'I -4 2 d'
_space_group_IT_number 122
_space_group_name_Hall 'I -4 2bw'
loop_
_atom_site_label
_atom_site_type_symbol
_atom_site_fract_x
_atom_site_fract_y
_atom_site_fract_z
Ta1 Ta 0.1970 0.2500 0.1250
Ir1 Ir 0.0000 0.0000 0.0000
I1 I 0.0000 0.0000 0.5000
```

***

4.
# AlHgRh

A relaxed AlHgRh crystal (GGA-PBE, Alexandria).

Computed properties:
Offset from the most stable computed form: 219 meV/atom
Total magnetization: 0.00 μB/f.u.
Crystal system: cubic
DOS at the Fermi energy: 1.36 states/eV/f.u.
Formation enthalpy at 0 K: -0.36 eV per formula unit
DFT total energy: -3.920 eV per atom

The structure in CIF format:
```
data_AlHgRh
_chemical_formula_sum 'Al4 Hg4 Rh4'
_cell_length_a 6.1672
_cell_length_b 6.1672
_cell_length_c 6.1672
_cell_angle_alpha 90.00
_cell_angle_beta 90.00
_cell_angle_gamma 90.00
_space_group_name_H-M_alt 'F -4 3 m'
_space_group_IT_number 216
_space_group_name_Hall 'F -4 2 3'
loop_
_atom_site_label
_atom_site_type_symbol
_atom_site_fract_x
_atom_site_fract_y
_atom_site_fract_z
Al1 Al 0.0000 0.0000 0.0000
Hg1 Hg 0.0000 0.0000 0.5000
Rh1 Rh 0.2500 0.2500 0.7500
```

***

5.
# Mn2TlAgI8

A relaxed Mn2TlAgI8 crystal (GGA-PBE, Alexandria).

Computed properties:
Total magnetization: 8.00 μB/f.u.
Crystal system: trigonal
DOS at the Fermi energy: 6.91 states/eV/f.u.
E_form (uncorrected): -0.309 eV/atom
DFT total energy: -3.305 eV per atom

The structure in CIF format:
```
data_Mn2TlAgI8
_chemical_formula_sum 'Mn2 Tl1 Ag1 I8'
_cell_length_a 7.3613
_cell_length_b 7.3613
_cell_length_c 10.1281
_cell_angle_alpha 90.00
_cell_angle_beta 90.00
_cell_angle_gamma 120.00
_space_group_name_H-M_alt 'P -3'
_space_group_IT_number 147
_space_group_name_Hall '-P 3'
loop_
_atom_site_label
_atom_site_type_symbol
_atom_site_fract_x
_atom_site_fract_y
_atom_site_fract_z
Mn1 Mn 0.3333 0.6667 0.2478
Tl1 Tl 0.0000 0.0000 0.5000
Ag1 Ag 0.0000 0.0000 0.0000
I1 I 0.0036 0.6820 0.8192
I2 I 0.3333 0.6667 0.5029
```

***

6.
# ThNi2Ge

A relaxed ThNi2Ge crystal (GGA-PBE, Alexandria).

Computed properties:
Offset from the most stable computed form: 211 meV/atom
Total magnetization: 0.00 μB/f.u.
Crystal system: monoclinic
DOS at the Fermi energy: 2.18 states/eV/f.u.
Formation enthalpy at 0 K: -1.56 eV per formula unit
DFT total energy: -6.290 eV per atom

The structure in CIF format:
```
data_ThNi2Ge
_chemical_formula_sum 'Th2 Ni4 Ge2'
_cell_length_a 4.1006
_cell_length_b 6.8177
_cell_length_c 5.7043
_cell_angle_alpha 90.00
_cell_angle_beta 111.13
_cell_angle_gamma 90.00
_space_group_name_H-M_alt 'P 1 21/m 1'
_space_group_IT_number 11
_space_group_name_Hall '-P 2yb'
loop_
_atom_site_label
_atom_site_type_symbol
_atom_site_fract_x
_atom_site_fract_y
_atom_site_fract_z
Th1 Th 0.0733 0.2500 0.1450
Ni1 Ni 0.2142 0.5718 0.4283
Ge1 Ge 0.3639 0.2500 0.7276
```

***

7.
# Ca2HfRuC

A relaxed Ca2HfRuC crystal (GGA-PBE, Alexandria).

Computed properties:
Total magnetization: 0.94 μB/f.u.
Crystal system: tetragonal
DOS at the Fermi energy: 6.21 states/eV/f.u.
Formation enthalpy at 0 K: 10.04 eV per formula unit
DFT total energy: -4.484 eV per atom

The structure in CIF format:
```
data_Ca2HfRuC
_chemical_formula_sum 'Ca2 Hf1 Ru1 C1'
_cell_length_a 6.0878
_cell_length_b 6.0878
_cell_length_c 4.5311
_cell_angle_alpha 90.00
_cell_angle_beta 90.00
_cell_angle_gamma 90.00
_space_group_name_H-M_alt 'P 4/m m m'
_space_group_IT_number 123
_space_group_name_Hall '-P 4 2'
loop_
_atom_site_label
_atom_site_type_symbol
_atom_site_fract_x
_atom_site_fract_y
_atom_site_fract_z
Ca1 Ca 0.0000 0.5000 0.0000
Hf1 Hf 0.0000 0.0000 0.0000
Ru1 Ru 0.0000 0.0000 0.5000
C1 C 0.5000 0.5000 0.5000
```

***

8.
# CaFePt2

A relaxed CaFePt2 crystal (GGA-PBE, Alexandria).

Computed properties:
Total magnetization: 3.38 μB/f.u.
Crystal system: tetragonal
DOS at the Fermi energy: 8.58 states/eV/f.u.
Formation enthalpy at 0 K: -0.08 eV per formula unit
DFT total energy: -5.658 eV per atom

The structure in CIF format:
```
data_CaFePt2
_chemical_formula_sum 'Ca4 Fe4 Pt8'
_cell_length_a 4.8601
_cell_length_b 4.8601
_cell_length_c 16.5530
_cell_angle_alpha 90.00
_cell_angle_beta 90.00
_cell_angle_gamma 90.00
_space_group_name_H-M_alt 'I -4 2 d'
_space_group_IT_number 122
_space_group_name_Hall 'I -4 2bw'
loop_
_atom_site_label
_atom_site_type_symbol
_atom_site_fract_x
_atom_site_fract_y
_atom_site_fract_z
Ca1 Ca 0.0000 0.0000 0.0000
Fe1 Fe 0.0000 0.0000 0.5000
Pt1 Pt 0.0739 0.2500 0.6250
```

***

no.,calculated density (Mg/m³)
1,9.60
2,5.61
3,10.24
4,9.36
5,5.02
6,9.42
7,3.68
8,8.26